[1]
# PuHfH4 | Alexandria | PBE-GGA | optimized geometry
# Total energy = -6.705 eV/atom
# Total magnetic moment = 20.64 Bohr magnetons per cell
data_PuHfH4
_chemical_formula_sum 'Pu4 Hf4 H16'
_cell_length_a 5.029
_cell_length_b 5.094
_cell_length_c 9.571
_cell_angle_alpha 90.00
_cell_angle_beta 90.00
_cell_angle_gamma 90.00
_symmetry_space_group_name_H-M 'I m m a'
_symmetry_Int_Tables_number 74
_symmetry_space_group_name_Hall '-I 2b 2'
loop_
_atom_site_label
_atom_site_type_symbol
_atom_site_fract_x
_atom_site_fract_y
_atom_site_fract_z
Pu1 Pu 0.000 0.250 0.127
Hf1 Hf 0.000 0.250 0.624
H1 H 0.221 0.000 0.500
H2 H 0.250 0.033 0.750

[2]
# VB3Au | Alexandria | PBE-GGA | optimized geometry
# Energy of formation from the pure elements = 1.456 eV per atom
# Total energy = -5.030 eV/atom
# Total magnetic moment = 0.00 Bohr magnetons per cell
data_VB3Au
_chemical_formula_sum 'V1 B3 Au1'
_cell_length_a 4.022
_cell_length_b 4.022
_cell_length_c 4.022
_cell_angle_alpha 90.00
_cell_angle_beta 90.00
_cell_angle_gamma 90.00
_symmetry_space_group_name_H-M 'P m -3 m'
_symmetry_Int_Tables_number 221
_symmetry_space_group_name_Hall '-P 4 2 3'
loop_
_atom_site_label
_atom_site_type_symbol
_atom_site_fract_x
_atom_site_fract_y
_atom_site_fract_z
V1 V 0.000 0.000 0.000
B1 B 0.000 0.000 0.500
Au1 Au 0.500 0.500 0.500

Repeat the first record exactly.
# PuHfH4 | Alexandria | PBE-GGA | optimized geometry
# Total energy = -6.705 eV/atom
# Total magnetic moment = 20.64 Bohr magnetons per cell
data_PuHfH4
_chemical_formula_sum 'Pu4 Hf4 H16'
_cell_length_a 5.029
_cell_length_b 5.094
_cell_length_c 9.571
_cell_angle_alpha 90.00
_cell_angle_beta 90.00
_cell_angle_gamma 90.00
_symmetry_space_group_name_H-M 'I m m a'
_symmetry_Int_Tables_number 74
_symmetry_space_group_name_Hall '-I 2b 2'
loop_
_atom_site_label
_atom_site_type_symbol
_atom_site_fract_x
_atom_site_fract_y
_atom_site_fract_z
Pu1 Pu 0.000 0.250 0.127
Hf1 Hf 0.000 0.250 0.624
H1 H 0.221 0.000 0.500
H2 H 0.250 0.033 0.750

- Which value of total magnetic moment does entry 1 give?
  20.64 Bohr magnetons per cell